{
  "formula": "Na2LaMoF8",
  "functional": "PBE with a Hubbard U",
  "state": "relaxed",
  "dos_ef_per_ev_atom": 0.000,
  "total_magnetization_mub_per_fu": 3.00,
  "dft_energy_ev_per_cell": -67.43,
  "vol_a3_per_cell": 174.24,
  "cell": [[-0.360, -0.503, -4.102], [-5.474, -0.612, 0.765], [-0.949, 7.452, -0.831]],
  "species": ["F", "F", "F", "F", "F", "F", "F", "F", "Mo", "La", "Na", "Na"],
  "fractional_positions": [[0.412, 0.230, 0.000], [0.483, 0.242, 0.500], [0.933, 0.227, 0.229], [0.517, 0.758, 0.500], [0.588, 0.770, 0.000], [0.067, 0.773, 0.771], [0.933, 0.227, 0.771], [0.067, 0.773, 0.229], [0.000, 0.000, 0.000], [0.000, 0.000, 0.500], [0.500, 0.500, 0.231], [0.500, 0.500, 0.769]]
}